[1]
A plane-wave DFT calculation with PBE-GGA was carried out for a relaxed structure of Ca2YCdTe.

Calculated values
ΔE_f (raw) (eV/atom): -0.16
E (eV/atom): -3.0635
Magnetization (μB/f.u.): 0.0
Space-group type: P4/mmm

```
Ca2YCdTe
1.0
5.7642 0.0000 0.0000
0.0000 5.7642 0.0000
0.0000 0.0000 5.6456
Ca Y Cd Te
2 1 1 1
direct
0.0000 0.5000 0.0000
0.5000 0.0000 0.0000
0.0000 0.0000 0.5000
0.0000 0.0000 0.0000
0.5000 0.5000 0.5000
```

=====

[2]
A plane-wave DFT calculation with PBE-GGA was carried out for a relaxed structure of Co2AgPb.

Calculated values
E (eV/atom): -4.6888
Formation enthalpy at 0 K (meV per atom): 504
Magnetization (μB/f.u.): 3.7
Space-group type: R3m

```
Co2AgPb
1.0
1.5972 0.9222 8.2877
-1.5972 0.9222 8.2877
0.0000 -1.8443 8.2877
Co Ag Pb
2 1 1
direct
0.0000 0.0000 0.0000
0.2819 0.2819 0.2819
0.5340 0.5340 0.5340
0.7610 0.7610 0.7610
```

=====

[3]
A plane-wave DFT calculation with PBE-GGA was carried out for a relaxed structure of Cs3UTe6Pd2.

Calculated values
ΔE_f (raw) (eV/atom): -0.58
E (eV/atom): -4.1691
Magnetization (μB/f.u.): 1.4
Space-group type: C2/m

```
Cs3UTe6Pd2
1.0
3.7039 -6.4000 0.0000
3.7039 6.4000 0.0000
-2.4746 0.0000 8.9406
Cs U Te Pd
3 1 6 2
direct
0.0000 0.0000 0.0000
0.3373 0.6627 0.0000
0.6627 0.3373 0.0000
0.5000 0.5000 0.5000
0.0895 0.4427 0.3256
0.2046 0.2046 0.6722
0.4427 0.0895 0.3256
0.5573 0.9105 0.6744
0.7954 0.7954 0.3278
0.9105 0.5573 0.6744
0.1670 0.8330 0.5000
0.8330 0.1670 0.5000
```

=====

[4]
A plane-wave DFT calculation with PBE-GGA was carried out for a relaxed structure of CrCo3.

Calculated values
Distance to the lowest polymorph of the same formula (meV/atom): 48
E (eV/atom): -7.6930
Formation enthalpy at 0 K (meV per atom): 42
Magnetization (μB/f.u.): 1.6
Space-group type: I4/mmm

```
CrCo3
1.0
-1.7534 1.7534 3.5326
1.7534 -1.7534 3.5326
1.7534 1.7534 -3.5326
Cr Co
1 3
direct
0.0000 0.0000 0.0000
0.2500 0.7500 0.5000
0.5000 0.5000 0.0000
0.7500 0.2500 0.5000
```

=====

[5]
A plane-wave DFT calculation with PBE-GGA was carried out for a relaxed structure of LiSn5Se6.

Calculated values
ΔE_f (raw) (eV/atom): -0.52
E (eV/atom): -4.0921
Magnetization (μB/f.u.): 0.0
Space-group type: C2/m

```
LiSn5Se6
1.0
3.6373 -6.3086 0.0000
3.6373 6.3086 0.0000
-2.4049 0.0000 6.8528
Li Sn Se
1 5 6
direct
0.0000 0.0000 0.0000
0.1657 0.8343 0.5000
0.3340 0.6660 0.0000
0.5000 0.5000 0.5000
0.6660 0.3340 0.0000
0.8343 0.1657 0.5000
0.0813 0.4102 0.2452
0.2461 0.2461 0.7583
0.4102 0.0813 0.2452
0.5898 0.9187 0.7548
0.7539 0.7539 0.2417
0.9187 0.5898 0.7548
```

=====

[6]
A plane-wave DFT calculation with PBE-GGA was carried out for a relaxed structure of PdI2N.

Calculated values
Distance to the lowest polymorph of the same formula (meV/atom): 511
ΔE_f (raw) (eV/atom): 1.55
E (eV/atom): -2.5997
Magnetization (μB/f.u.): 0.0
Space-group type: Fm-3m

```
PdI2N
1.0
0.0000 3.4128 3.4128
3.4128 0.0000 3.4128
3.4128 3.4128 0.0000
Pd I N
1 2 1
direct
0.0000 0.0000 0.0000
0.2500 0.2500 0.2500
0.7500 0.7500 0.7500
0.5000 0.5000 0.5000
```

=====

[7]
A plane-wave DFT calculation with PBE-GGA was carried out for a relaxed structure of Dy2ErAg.

Calculated values
Distance to the lowest polymorph of the same formula (meV/atom): 185
E (eV/atom): -4.0981
Formation enthalpy at 0 K (meV per atom): 56
Magnetization (μB/f.u.): 0.0
Space-group type: Fm-3m

```
Dy2ErAg
1.0
0.0000 3.7866 3.7866
3.7866 0.0000 3.7866
3.7866 3.7866 0.0000
Dy Er Ag
2 1 1
direct
0.2500 0.2500 0.2500
0.7500 0.7500 0.7500
0.0000 0.0000 0.0000
0.5000 0.5000 0.5000
```

=====

[8]
A plane-wave DFT calculation with PBE-GGA was carried out for a relaxed structure of Y2CuMo.

Calculated values
Distance to the lowest polymorph of the same formula (meV/atom): 86
E (eV/atom): -6.7319
Formation enthalpy at 0 K (meV per atom): 232
Magnetization (μB/f.u.): 0.0
Space-group type: Fm-3m

```
Y2CuMo
1.0
0.0000 3.4921 3.4921
3.4921 0.0000 3.4921
3.4921 3.4921 0.0000
Y Cu Mo
2 1 1
direct
0.2500 0.2500 0.2500
0.7500 0.7500 0.7500
0.0000 0.0000 0.0000
0.5000 0.5000 0.5000
```

=====

[9]
A plane-wave DFT calculation with PBE-GGA was carried out for a relaxed structure of ReC2.

Calculated values
Distance to the lowest polymorph of the same formula (meV/atom): 156
E (eV/atom): -9.7025
Formation enthalpy at 0 K (meV per atom): 596
Magnetization (μB/f.u.): 0.0
Space-group type: P2/c

```
ReC2
1.0
4.4297 0.0000 0.0000
0.0000 2.8697 0.0000
-1.8668 0.0000 4.6159
Re C
2 4
direct
0.0000 0.2441 0.2500
0.0000 0.7559 0.7500
0.3326 0.2462 0.6947
0.3326 0.7538 0.1947
0.6674 0.2462 0.8053
0.6674 0.7538 0.3053
```

=====

[10]
A plane-wave DFT calculation with PBE-GGA was carried out for a relaxed structure of CdGaBi.

Calculated values
E (eV/atom): -2.5216
Formation enthalpy at 0 K (meV per atom): 86
Magnetization (μB/f.u.): 0.0
Space-group type: I4mm

```
CdGaBi
1.0
-1.6929 1.6929 6.6379
1.6929 -1.6929 6.6379
1.6929 1.6929 -6.6379
Cd Ga Bi
1 1 1
direct
0.0000 0.0000 0.0000
0.3556 0.3556 0.0000
0.6856 0.6856 0.0000
```

=====

[11]
A plane-wave DFT calculation with PBE-GGA was carried out for a relaxed structure of Tc2MoPt.

Calculated values
Distance to the lowest polymorph of the same formula (meV/atom): 409
E (eV/atom): -9.1594
Formation enthalpy at 0 K (meV per atom): 242
Magnetization (μB/f.u.): 0.0
Space-group type: F-43m

```
Tc2MoPt
1.0
0.0000 3.1321 3.1321
3.1321 0.0000 3.1321
3.1321 3.1321 0.0000
Tc Mo Pt
2 1 1
direct
0.0000 0.0000 0.0000
0.2500 0.2500 0.2500
0.5000 0.5000 0.5000
0.7500 0.7500 0.7500
```

=====

[12]
A plane-wave DFT calculation with PBE-GGA was carried out for a relaxed structure of LiNd4AlZn2.

Calculated values
E (eV/atom): -3.6378
Formation enthalpy at 0 K (meV per atom): -228
Magnetization (μB/f.u.): 0.0
Space-group type: R-3m

```
LiNd4AlZn2
1.0
2.6272 1.5168 8.6110
-2.6272 1.5168 8.6110
0.0000 -3.0337 8.6110
Li Nd Al Zn
1 4 1 2
direct
0.0000 0.0000 0.0000
0.1261 0.1261 0.1261
0.3767 0.3767 0.3767
0.6233 0.6233 0.6233
0.8739 0.8739 0.8739
0.5000 0.5000 0.5000
0.2529 0.2529 0.2529
0.7471 0.7471 0.7471
```